Record 1
DFT (PBE) results for crystalline Sm3Sb2Se at its relaxed geometry.

Geometry as POSCAR:
```
Sm3Sb2Se
1.0
-1.168 0.797 -4.150
5.198 -2.760 -1.993
-5.150 -4.763 2.850
Sb Sm Se
2 3 1
direct
0.831 0.831 0.163
0.169 0.169 0.837
0.839 0.339 0.178
0.161 0.661 0.822
0.500 0.000 0.500
0.500 0.500 0.500
```

## Properties
- Calculated volume: 178.4 Å³/cell
- Raw formation energy: -1.4035 eV per atom



Record 2
DFT (PBE) results for crystalline Sm2SbSe5 at its relaxed geometry.

Geometry as POSCAR:
```
Sm2SbSe5
1.0
5.643 0.000 0.000
-2.822 7.111 0.000
0.000 0.000 13.653
Se Sm Sb
10 4 2
direct
0.700 0.400 0.590
0.300 0.600 0.410
0.959 0.917 0.603
0.700 0.400 0.910
0.959 0.917 0.897
0.041 0.083 0.397
0.280 0.559 0.750
0.041 0.083 0.103
0.720 0.441 0.250
0.300 0.600 0.090
0.840 0.680 0.431
0.160 0.320 0.931
0.160 0.320 0.569
0.840 0.680 0.069
0.165 0.331 0.250
0.835 0.669 0.750
```

## Properties
- Calculated volume: 547.9 Å³/cell
- Raw formation energy: -1.1342 eV per atom
- Offset from the most stable computed form: 0.83 eV/f.u.



Record 3
DFT (PBE) results for crystalline Sm3Sb2Se2 at its relaxed geometry.

Geometry as POSCAR:
```
Sm3Sb2Se2
1.0
4.074 0.000 -1.176
-1.028 7.704 -3.561
-0.213 -0.401 6.908
Se Sb Sm
2 2 3
direct
0.670 0.590 0.341
0.330 0.410 0.659
0.071 0.906 0.142
0.929 0.094 0.858
0.350 0.772 0.699
0.650 0.228 0.301
0.000 0.500 0.000
```

## Properties
- Calculated volume: 208.6 Å³/cell
- Raw formation energy: -1.3646 eV per atom
- Offset from the most stable computed form: 0.00 eV/f.u.



> The lowest calculated volume belongs to which entry?

Sm3Sb2Se